# 1
Computed, not measured: a relaxed structure of Ho6US8 at the PBE-GGA level of DFT.

Cell lengths 7.759, 7.759, 7.759 Å; angles 60.00, 60.00, 60.00 degrees
Element x y z (fractional)
Ho1 0.000 0.000 0.500
Ho2 0.000 0.500 0.000
Ho3 0.000 0.500 0.500
Ho4 0.500 0.000 0.000
Ho5 0.500 0.000 0.500
Ho6 0.500 0.500 0.000
U1 0.000 0.000 0.000
S1 0.250 0.250 0.250
S2 0.253 0.253 0.747
S3 0.253 0.747 0.253
S4 0.253 0.747 0.747
S5 0.747 0.253 0.253
S6 0.747 0.253 0.747
S7 0.747 0.747 0.253
S8 0.750 0.750 0.750

Uncorrected formation energy, eV per atom: -1.902
Final energy, eV/atom: -6.69
Density, kg/m3: 7462

# 2
Computed, not measured: a relaxed structure of HoUS4 at the PBE-GGA level of DFT.

Cell lengths 13.169, 4.017, 6.843 Å; angles 90.00, 99.37, 90.00 degrees
Element x y z (fractional)
Ho1 0.000 0.000 0.000
Ho2 0.500 0.500 0.000
U1 0.000 0.500 0.500
U2 0.500 0.000 0.500
S1 0.106 0.000 0.380
S2 0.106 0.500 0.852
S3 0.394 0.000 0.148
S4 0.394 0.500 0.620
S5 0.606 0.000 0.852
S6 0.606 0.500 0.380
S7 0.894 0.000 0.620
S8 0.894 0.500 0.148

Uncorrected formation energy, eV per atom: -1.574
Energy above the most stable polymorph in this dataset, meV/atom: 0.0
Final energy, eV/atom: -6.97
Density, kg/m3: 4939

# 3
Computed, not measured: a relaxed structure of Ho5US6 at the PBE-GGA level of DFT.

Cell lengths 6.725, 6.725, 6.738 Å; angles 99.69, 99.69, 119.96 degrees
Element x y z (fractional)
Ho1 0.000 0.000 0.000
Ho2 0.168 0.832 0.500
Ho3 0.330 0.670 0.000
Ho4 0.670 0.330 0.000
Ho5 0.832 0.168 0.500
U1 0.500 0.500 0.500
S1 0.083 0.416 0.250
S2 0.249 0.249 0.753
S3 0.416 0.083 0.250
S4 0.584 0.917 0.750
S5 0.751 0.751 0.247
S6 0.917 0.584 0.750

Uncorrected formation energy, eV per atom: -1.857
Final energy, eV/atom: -6.77
Density, kg/m3: 8382

# 4
Computed, not measured: a relaxed structure of HoU3S4 at the PBE-GGA level of DFT.

Cell lengths 7.786, 10.926, 3.846 Å; angles 90.00, 90.00, 90.00 degrees
Element x y z (fractional)
Ho1 0.000 0.000 0.000
Ho2 0.500 0.500 0.000
U1 0.000 0.500 0.000
U2 0.250 0.250 0.500
U3 0.250 0.750 0.500
U4 0.500 0.000 0.000
U5 0.750 0.250 0.500
U6 0.750 0.750 0.500
S1 0.000 0.249 0.000
S2 0.000 0.751 0.000
S3 0.248 0.000 0.500
S4 0.252 0.500 0.500
S5 0.500 0.251 0.000
S6 0.500 0.749 0.000
S7 0.748 0.500 0.500
S8 0.752 0.000 0.500

Uncorrected formation energy, eV per atom: -1.519
Final energy, eV/atom: -8.39
Density, kg/m3: 10225

# 5
Computed, not measured: a relaxed structure of Ho4US7 at the PBE-GGA level of DFT.

Cell lengths 6.685, 6.685, 11.624 Å; angles 104.14, 104.14, 32.86 degrees
Element x y z (fractional)
Ho1 0.000 0.000 0.000
Ho2 0.398 0.398 0.626
Ho3 0.582 0.582 0.392
Ho4 0.700 0.700 0.812
U1 0.815 0.815 0.238
S1 0.040 0.040 0.764
S2 0.199 0.199 0.317
S3 0.358 0.358 0.864
S4 0.444 0.444 0.163
S5 0.659 0.659 0.028
S6 0.741 0.741 0.598
S7 0.960 0.960 0.467

Uncorrected formation energy, eV per atom: -1.897
Final energy, eV/atom: -6.77
Density, kg/m3: 6836

# 6
Computed, not measured: a relaxed structure of HoU4S5 at the PBE-GGA level of DFT.

Cell lengths 10.331, 10.331, 10.331 Å; angles 158.65, 149.35, 37.66 degrees
Element x y z (fractional)
Ho1 0.000 0.000 0.000
U1 0.201 0.201 0.000
U2 0.400 0.400 0.000
U3 0.600 0.600 0.000
U4 0.799 0.799 0.000
S1 0.100 0.600 0.500
S2 0.300 0.800 0.500
S3 0.500 0.000 0.500
S4 0.700 0.200 0.500
S5 0.900 0.400 0.500

Uncorrected formation energy, eV per atom: -1.488
Final energy, eV/atom: -8.52
Density, kg/m3: 10378

# 7
Computed, not measured: a relaxed structure of Ho2U2S7 at the PBE-GGA level of DFT.

Cell lengths 8.389, 8.389, 8.389 Å; angles 153.22, 68.06, 118.74 degrees
Element x y z (fractional)
Ho1 0.000 0.000 0.000
Ho2 0.536 0.036 0.500
U1 0.482 0.240 0.241
U2 0.999 0.240 0.759
S1 0.187 0.547 0.640
S2 0.252 0.937 0.315
S3 0.316 0.316 0.000
S4 0.610 0.721 0.889
S5 0.623 0.937 0.685
S6 0.832 0.721 0.111
S7 0.906 0.547 0.360

Uncorrected formation energy, eV per atom: -1.656
Energy above the most stable polymorph in this dataset, meV/atom: 3.4
Final energy, eV/atom: -7.17
Density, kg/m3: 7411

# 8
Computed, not measured: a relaxed structure of HoUS at the PBE-GGA level of DFT.

Cell lengths 14.429, 14.429, 14.429 Å; angles 15.23, 15.23, 15.23 degrees
Element x y z (fractional)
Ho1 0.090 0.090 0.090
Ho2 0.910 0.910 0.910
U1 0.348 0.348 0.348
U2 0.652 0.652 0.652
S1 0.212 0.212 0.212
S2 0.788 0.788 0.788

Uncorrected formation energy, eV per atom: -0.637
Final energy, eV/atom: -7.30
Density, kg/m3: 8000

# 9
Computed, not measured: a relaxed structure of Ho2U2S7 at the PBE-GGA level of DFT.

Cell lengths 8.444, 8.444, 8.444 Å; angles 153.52, 67.03, 119.68 degrees
Element x y z (fractional)
Ho1 0.242 0.000 0.242
Ho2 0.758 0.000 0.758
U1 0.303 0.803 0.500
U2 0.755 0.755 0.000
S1 0.014 0.698 0.316
S2 0.076 0.076 0.000
S3 0.370 0.478 0.892
S4 0.382 0.698 0.684
S5 0.586 0.478 0.108
S6 0.677 0.310 0.367
S7 0.942 0.310 0.633

Uncorrected formation energy, eV per atom: -1.659
Energy above the most stable polymorph in this dataset, meV/atom: 0.0
Final energy, eV/atom: -7.17
Density, kg/m3: 7404

# 10
Computed, not measured: a relaxed structure of HoU2S3 at the PBE-GGA level of DFT.

Cell lengths 5.474, 11.624, 7.721 Å; angles 90.00, 90.10, 90.00 degrees
Element x y z (fractional)
Ho1 0.250 0.083 0.126
Ho2 0.250 0.417 0.626
Ho3 0.750 0.583 0.374
Ho4 0.750 0.917 0.874
U1 0.249 0.084 0.622
U2 0.249 0.416 0.122
U3 0.251 0.749 0.624
U4 0.251 0.751 0.124
U5 0.749 0.249 0.876
U6 0.749 0.251 0.376
U7 0.751 0.584 0.878
U8 0.751 0.916 0.378
S1 0.249 0.248 0.874
S2 0.249 0.252 0.374
S3 0.250 0.582 0.375
S4 0.250 0.918 0.875
S5 0.251 0.583 0.873
S6 0.251 0.917 0.373
S7 0.749 0.083 0.627
S8 0.749 0.417 0.127
S9 0.750 0.082 0.125
S10 0.750 0.418 0.625
S11 0.751 0.748 0.626
S12 0.751 0.752 0.126

Uncorrected formation energy, eV per atom: -1.561
Final energy, eV/atom: -8.15
Density, kg/m3: 9967

# 11
Computed, not measured: a relaxed structure of HoUS4 at the PBE-GGA level of DFT.

Cell lengths 8.738, 8.902, 4.088 Å; angles 90.00, 90.00, 90.00 degrees
Element x y z (fractional)
Ho1 0.000 0.000 0.000
Ho2 0.500 0.500 0.000
U1 0.000 0.500 0.500
U2 0.500 0.000 0.500
S1 0.000 0.312 0.000
S2 0.000 0.688 0.000
S3 0.203 0.000 0.500
S4 0.297 0.500 0.500
S5 0.500 0.188 0.000
S6 0.500 0.812 0.000
S7 0.703 0.500 0.500
S8 0.797 0.000 0.500

Uncorrected formation energy, eV per atom: -1.504
Energy above the most stable polymorph in this dataset, meV/atom: 69.7
Final energy, eV/atom: -6.90
Density, kg/m3: 5548

# 12
Computed, not measured: a relaxed structure of YHo2US8 at the PBE-GGA level of DFT.

Cell lengths 5.866, 8.053, 6.430 Å; angles 90.00, 90.11, 90.00 degrees
Element x y z (fractional)
Y1 0.000 0.000 0.000
Ho1 0.500 0.252 0.500
Ho2 0.500 0.748 0.500
U1 0.000 0.500 0.000
S1 0.209 0.000 0.391
S2 0.246 0.500 0.333
S3 0.248 0.264 0.860
S4 0.248 0.736 0.860
S5 0.752 0.264 0.140
S6 0.752 0.736 0.140
S7 0.754 0.500 0.667
S8 0.791 0.000 0.609

Uncorrected formation energy, eV per atom: -1.500
Final energy, eV/atom: -6.49
Density, kg/m3: 4993

no.,total moment (μB per cell),DOS at the Fermi energy (states/eV per atom)
1,3.68,0.80
2,2.00,0.73
3,2.89,0.95
4,13.75,1.52
5,3.15,0.62
6,9.10,1.91
7,4.00,1.17
8,0.00,1.25
9,4.00,0.85
10,18.31,1.86
11,2.00,0.79
12,1.00,0.08